(1)
A geometry-optimized FePb structure, computed with GGA-PBE.

Output
Formation energy   1.044 eV per formula unit

Lattice parameters (Å, degrees): 3.2551 3.2551 9.3734 90.00 90.00 120.00
Sites, in units of the cell vectors:
Fe1 0.3333 0.6667 0.0795
Fe2 0.6667 0.3333 0.9205
Pb1 0.3333 0.6667 0.6782
Pb2 0.6667 0.3333 0.3218

***

(2)
A geometry-optimized Ag2RuSe2 structure, computed with GGA-PBE.

Output
Raw formation energy   607 meV/atom

Lattice parameters (Å, degrees): 7.3772 7.3772 3.5181 90.00 90.00 90.00
Sites, in units of the cell vectors:
Ag1 0.1311 0.3689 0.0000
Ag2 0.3689 0.8689 0.0000
Ag3 0.6311 0.1311 0.0000
Ag4 0.8689 0.6311 0.0000
Ru1 0.0000 0.0000 0.0000
Ru2 0.5000 0.5000 0.0000
Se1 0.1791 0.6791 0.5000
Se2 0.3209 0.1791 0.5000
Se3 0.6791 0.8209 0.5000
Se4 0.8209 0.3209 0.5000

***

(3)
A geometry-optimized BaRePb2 structure, computed with GGA-PBE.

Output
Formation energy   3.510 eV per formula unit

Lattice parameters (Å, degrees): 6.0917 6.0917 6.0917 133.49 133.49 67.88
Sites, in units of the cell vectors:
Ba1 0.0000 0.0000 0.0000
Re1 0.7500 0.2500 0.5000
Pb1 0.2500 0.7500 0.5000
Pb2 0.5000 0.5000 0.0000

***

(4)
A geometry-optimized ReTcAu2 structure, computed with GGA-PBE.

Output
Formation energy   1.616 eV per formula unit

Lattice parameters (Å, degrees): 4.8735 4.8735 5.0684 97.62 97.62 32.75
Sites, in units of the cell vectors:
Re1 0.0000 0.0000 0.0000
Tc1 0.2524 0.2524 0.7994
Au1 0.5026 0.5026 0.5180
Au2 0.7486 0.7486 0.2783

***

(5)
A geometry-optimized La5Nd4Sm3 structure, computed with GGA-PBE.

Output
Formation energy   2.565 eV per formula unit

Lattice parameters (Å, degrees): 9.7644 9.7644 9.0691 117.46 117.46 35.19
Sites, in units of the cell vectors:
La1 0.0000 0.0000 0.0000
La2 0.3333 0.3333 0.0987
La3 0.3949 0.3949 0.5725
La4 0.6051 0.6051 0.4275
La5 0.6667 0.6667 0.9013
Nd1 0.0320 0.0320 0.7053
Nd2 0.2001 0.2001 0.6466
Nd3 0.7999 0.7999 0.3534
Nd4 0.9680 0.9680 0.2947
Sm1 0.1827 0.1827 0.2234
Sm2 0.5000 0.5000 0.0000
Sm3 0.8173 0.8173 0.7766

***

(6)
A geometry-optimized Nd9ScTl2 structure, computed with GGA-PBE.

Output
Formation energy   -1.445 eV per formula unit

Lattice parameters (Å, degrees): 4.9943 4.9943 15.2319 90.00 90.00 90.00
Sites, in units of the cell vectors:
Nd1 0.0000 0.0000 0.0000
Nd2 0.0000 0.0000 0.3335
Nd3 0.0000 0.0000 0.6665
Nd4 0.0000 0.5000 0.1677
Nd5 0.0000 0.5000 0.5000
Nd6 0.0000 0.5000 0.8323
Nd7 0.5000 0.0000 0.1677
Nd8 0.5000 0.0000 0.5000
Nd9 0.5000 0.0000 0.8323
Sc1 0.5000 0.5000 0.0000
Tl1 0.5000 0.5000 0.3374
Tl2 0.5000 0.5000 0.6626

***

(7)
A geometry-optimized Sr2CeSmBi4 structure, computed with GGA-PBE.

Output
Formation energy   -6.421 eV per formula unit

Lattice parameters (Å, degrees): 8.1081 4.6742 8.2202 90.00 109.25 90.00
Sites, in units of the cell vectors:
Sr1 0.0000 0.0000 0.0000
Sr2 0.5000 0.5000 0.0000
Ce1 0.0000 0.5000 0.5000
Sm1 0.5000 0.0000 0.5000
Bi1 0.2393 0.0000 0.7257
Bi2 0.2551 0.5000 0.2721
Bi3 0.7449 0.5000 0.7279
Bi4 0.7607 0.0000 0.2743

***

(8)
A geometry-optimized YPt2Pb structure, computed with GGA-PBE.

Output
Formation energy   -1.092 eV per formula unit

Lattice parameters (Å, degrees): 8.4096 8.4096 8.4096 140.70 140.70 56.79
Sites, in units of the cell vectors:
Y1 0.0000 0.0000 0.0000
Y2 0.7500 0.2500 0.5000
Pt1 0.1361 0.6250 0.0111
Pt2 0.3750 0.3861 0.5111
Pt3 0.6139 0.1250 0.9889
Pt4 0.8750 0.8639 0.4889
Pb1 0.2500 0.7500 0.5000
Pb2 0.5000 0.5000 0.0000

***

(9)
A geometry-optimized La12Pm3Nd structure, computed with GGA-PBE.

Output
Formation energy   0.099 eV per formula unit

Lattice parameters (Å, degrees): 5.2418 5.2418 20.9720 90.00 90.00 90.00
Sites, in units of the cell vectors:
La1 0.0000 0.0000 0.0000
La2 0.0000 0.0000 0.2499
La3 0.0000 0.0000 0.5000
La4 0.0000 0.0000 0.7501
La5 0.0000 0.5000 0.1250
La6 0.0000 0.5000 0.3747
La7 0.0000 0.5000 0.6253
La8 0.0000 0.5000 0.8750
La9 0.5000 0.0000 0.1250
La10 0.5000 0.0000 0.3747
La11 0.5000 0.0000 0.6253
La12 0.5000 0.0000 0.8750
Pm1 0.5000 0.5000 0.0000
Pm2 0.5000 0.5000 0.2499
Pm3 0.5000 0.5000 0.7501
Nd1 0.5000 0.5000 0.5000

***

(10)
A geometry-optimized Sr2Li3CdBi4 structure, computed with GGA-PBE.

Output
Formation energy   -5.994 eV per formula unit

Lattice parameters (Å, degrees): 4.8477 4.8477 12.0507 90.00 90.00 90.00
Sites, in units of the cell vectors:
Sr1 0.0000 0.5000 0.2399
Sr2 0.5000 0.0000 0.7601
Li1 0.0000 0.5000 0.8721
Li2 0.5000 0.0000 0.1279
Li3 0.5000 0.5000 0.5000
Cd1 0.0000 0.0000 0.5000
Bi1 0.0000 0.0000 0.0000
Bi2 0.0000 0.5000 0.6478
Bi3 0.5000 0.0000 0.3522
Bi4 0.5000 0.5000 0.0000

***

(11)
A geometry-optimized ScZn2Ni6 structure, computed with GGA-PBE.

Output
Formation energy   -0.181 eV per formula unit

Lattice parameters (Å, degrees): 4.8599 4.8599 6.4835 90.00 90.00 120.00
Sites, in units of the cell vectors:
Sc1 0.0000 0.0000 0.0000
Zn1 0.3333 0.6667 0.5000
Zn2 0.6667 0.3333 0.5000
Ni1 0.0000 0.5000 0.1859
Ni2 0.0000 0.5000 0.8141
Ni3 0.5000 0.0000 0.1859
Ni4 0.5000 0.0000 0.8141
Ni5 0.5000 0.5000 0.1859
Ni6 0.5000 0.5000 0.8141

***

(12)
A geometry-optimized Al2PbSe structure, computed with GGA-PBE.

Output
Raw formation energy   159 meV/atom

Lattice parameters (Å, degrees): 6.1284 6.1284 6.1284 139.47 139.47 58.66
Sites, in units of the cell vectors:
Al1 0.2500 0.7500 0.5000
Al2 0.7500 0.2500 0.5000
Pb1 0.0000 0.0000 0.0000
Se1 0.5000 0.5000 0.0000

***

(13)
A geometry-optimized Pm3P2IrRh9 structure, computed with GGA-PBE.

Output
Formation energy   -7.273 eV per formula unit

Lattice parameters (Å, degrees): 5.9235 5.9235 9.3357 90.00 90.00 120.00
Sites, in units of the cell vectors:
Pm1 0.0000 0.0000 0.0000
Pm2 0.3333 0.6667 0.6128
Pm3 0.6667 0.3333 0.3872
P1 0.3333 0.6667 0.1584
P2 0.6667 0.3333 0.8416
Ir1 0.0000 0.0000 0.5000
Rh1 0.0000 0.5000 0.0000
Rh2 0.1521 0.3042 0.2814
Rh3 0.1521 0.8479 0.2814
Rh4 0.3042 0.1521 0.7186
Rh5 0.5000 0.0000 0.0000
Rh6 0.5000 0.5000 0.0000
Rh7 0.6958 0.8479 0.2814
Rh8 0.8479 0.1521 0.7186
Rh9 0.8479 0.6958 0.7186

***

(14)
A geometry-optimized KYIr2 structure, computed with GGA-PBE.

Output
Formation energy   2.000 eV per formula unit

Lattice parameters (Å, degrees): 4.8424 4.8424 4.8424 119.95 119.95 90.09
Sites, in units of the cell vectors:
K1 0.0000 0.0000 0.0000
Y1 0.7500 0.2500 0.5000
Ir1 0.2500 0.7500 0.5000
Ir2 0.5000 0.5000 0.0000

***

(15)
A geometry-optimized YRe3Tc3 structure, computed with GGA-PBE.

Output
Formation energy   6.846 eV per formula unit

Lattice parameters (Å, degrees): 6.8273 6.8273 6.8273 90.00 90.00 90.00
Sites, in units of the cell vectors:
Y1 0.0000 0.0000 0.0000
Y2 0.5000 0.5000 0.5000
Re1 0.0000 0.2500 0.5000
Re2 0.0000 0.7500 0.5000
Re3 0.2500 0.5000 0.0000
Re4 0.5000 0.0000 0.2500
Re5 0.5000 0.0000 0.7500
Re6 0.7500 0.5000 0.0000
Tc1 0.0000 0.5000 0.2500
Tc2 0.0000 0.5000 0.7500
Tc3 0.2500 0.0000 0.5000
Tc4 0.5000 0.2500 0.0000
Tc5 0.5000 0.7500 0.0000
Tc6 0.7500 0.0000 0.5000

***

(16)
A geometry-optimized K2LiAg3Te4 structure, computed with GGA-PBE.

Output
Raw formation energy   -554 meV/atom

Lattice parameters (Å, degrees): 4.9995 4.9995 11.5384 90.00 90.00 90.00
Sites, in units of the cell vectors:
K1 0.0000 0.5000 0.2454
K2 0.5000 0.0000 0.7546
Li1 0.5000 0.5000 0.0000
Ag1 0.0000 0.0000 0.0000
Ag2 0.0000 0.5000 0.6305
Ag3 0.5000 0.0000 0.3695
Te1 0.0000 0.0000 0.5000
Te2 0.0000 0.5000 0.8715
Te3 0.5000 0.0000 0.1285
Te4 0.5000 0.5000 0.5000

***

(17)
A geometry-optimized Rb5CeS5 structure, computed with GGA-PBE.

Output
Raw formation energy   -1167 meV/atom

Lattice parameters (Å, degrees): 8.2260 8.2260 9.0405 107.50 107.50 44.82
Sites, in units of the cell vectors:
Rb1 0.0000 0.0000 0.0000
Rb2 0.3040 0.3040 0.1879
Rb3 0.3239 0.3239 0.6486
Rb4 0.6761 0.6761 0.3514
Rb5 0.6960 0.6960 0.8121
Ce1 0.0000 0.0000 0.5000
S1 0.1289 0.1289 0.3550
S2 0.1367 0.1367 0.7848
S3 0.5000 0.5000 0.5000
S4 0.8633 0.8633 0.2152
S5 0.8711 0.8711 0.6450

***

(18)
A geometry-optimized Ca2SnGe2Pd5 structure, computed with GGA-PBE.

Output
Formation energy   -6.665 eV per formula unit

Lattice parameters (Å, degrees): 10.3151 10.3151 3.5531 90.00 90.00 90.00
Sites, in units of the cell vectors:
Ca1 0.1745 0.3255 0.0000
Ca2 0.3255 0.8255 0.0000
Ca3 0.6745 0.1745 0.0000
Ca4 0.8255 0.6745 0.0000
Sn1 0.0000 0.0000 0.0000
Sn2 0.5000 0.5000 0.0000
Ge1 0.1250 0.6250 0.0000
Ge2 0.3750 0.1250 0.0000
Ge3 0.6250 0.8750 0.0000
Ge4 0.8750 0.3750 0.0000
Pd1 0.0000 0.5000 0.5000
Pd2 0.0620 0.7947 0.5000
Pd3 0.2053 0.0620 0.5000
Pd4 0.2947 0.5620 0.5000
Pd5 0.4380 0.2947 0.5000
Pd6 0.5000 0.0000 0.5000
Pd7 0.5620 0.7053 0.5000
Pd8 0.7053 0.4380 0.5000
Pd9 0.7947 0.9380 0.5000
Pd10 0.9380 0.2053 0.5000

***

(19)
A geometry-optimized CdGeBr3 structure, computed with GGA-PBE.

Output
Raw formation energy   -279 meV/atom

Lattice parameters (Å, degrees): 5.4167 5.4167 5.4167 90.00 90.00 90.00
Sites, in units of the cell vectors:
Cd1 0.0000 0.0000 0.0000
Ge1 0.5000 0.5000 0.5000
Br1 0.0000 0.5000 0.5000
Br2 0.5000 0.0000 0.5000
Br3 0.5000 0.5000 0.0000

***

(20)
A geometry-optimized CsOF3 structure, computed with GGA-PBE.

Output
Raw formation energy   -1077 meV/atom

Lattice parameters (Å, degrees): 4.2126 6.6815 6.6868 90.06 90.10 90.22
Sites, in units of the cell vectors:
Cs1 0.0000 0.0000 0.0000
Cs2 0.0000 0.5003 0.4998
O1 0.4483 0.0003 0.4997
O2 0.4499 0.5003 0.0003
F1 0.1052 0.0011 0.5011
F2 0.1069 0.4999 0.9993
F3 0.5148 0.1867 0.3127
F4 0.5150 0.8135 0.6863
F5 0.5164 0.3136 0.8135
F6 0.5165 0.6873 0.1875